1.
4
Lattice="-3.896 2.200 3.400 -1.084 -2.361 4.983 4.439 1.690 -3.003" Properties=species:S:1:pos:R:3 comment="ScAg2As, optimized geometry, DFT PBE" sg=I4/mmm formation_enthalpy_0k_kcal_per_mol_atoms=-8.80 pbc="T T T"
As -0.973 1.905 2.294
Ag -0.001 0.000 0.001
Ag -2.489 -0.080 4.190
Sc 0.433 -0.376 3.086

=====

2.
4
Lattice="-2.508 1.701 1.451 -0.348 -2.451 2.271 3.731 2.609 3.389" Properties=species:S:1:pos:R:3 comment="TbH, optimized geometry, DFT PBE" sg=P4/nmm dft_energy_ev_per_atom=-4.370 pbc="T T T"
Tb -1.160 0.123 3.683
Tb 2.035 1.735 3.428
H 0.538 0.688 2.068
H 0.336 1.170 5.043

=====

Number 1: theoretical density 7.32 Mg/m³, N(E_F) 2.1 states/eV/cell. Number 2: theoretical density 8.29 Mg/m³, N(E_F) 2.1 states/eV/cell.